VASP calculation (GGA-PBE) on a relaxed YSc2Sb crystal.

Cell: 7.3006 7.3006 7.3006 Å, 90.00 90.00 90.00°
With the nearest neighbours (Å) after each atom.
Space group F-43m (No. 216)
Asymmetric unit:
Y 0.0000 0.0000 0.0000 (multiplicity 4)  4 Sc 3.16, 4 Sb 3.16
Sc 0.0000 0.0000 0.5000 (multiplicity 4)  4 Sb 3.16, 4 Sc 3.16
Sc 0.2500 0.2500 0.2500 (multiplicity 4)  4 Sc 3.16, 4 Y 3.16
Sb 0.2500 0.2500 0.7500 (multiplicity 4)  4 Sc 3.16, 4 Y 3.16

Summary:
DFT total energy   -6.074 eV/atom